(1)
## CrNiP2S (GGA-PBE)

Data for a relaxed CrNiP2S crystal.

Cell and atoms, written as POSCAR:
```
CrNiP2S
1.0
-3.381 -0.783 2.482
-0.271 -3.941 -1.612
2.910 -1.613 3.455
S P Ni Cr
1 2 1 1
Direct
0.000 0.000 0.500
0.500 0.000 0.000
0.000 0.500 0.000
0.000 0.000 0.000
0.500 0.500 0.500
```

Properties
* raw formation energy: 57.5 kJ/mol of atoms
* DOS(E_F): 0.7553 states/eV/atom
* symmetry: No. 123

=====

(2)
## MgAlZn2 (GGA-PBE)

Data for a relaxed MgAlZn2 crystal.

Cell and atoms, written as POSCAR:
```
MgAlZn2
1.0
-0.235 -1.588 -2.407
2.535 1.105 -0.851
3.876 -6.089 3.639
Al Zn Mg
1 2 1
Direct
0.500 0.500 0.250
0.000 0.000 0.490
0.000 0.000 0.010
0.500 0.500 0.750
```

Properties
* ΔH_f (0 K): -13 meV per atom
* DOS(E_F): 0.2982 states/eV/atom
* symmetry: No. 65

=====

> DOS(E_F) of number 2 (MgAlZn2)?

0.2982 states/eV/atom

=====

> What is the formula in the second record?

MgAlZn2

=====

> Look up the DOS(E_F) of the second one.

0.2982 states/eV/atom

=====

> Which value of DOS(E_F) does entry 1 give?

0.7553 states/eV/atom